A geometry-optimized CaGa2F6 structure, computed with PBE.

Computed properties:
E_form (uncorrected) = -2.65 eV per atom

a = 10.0512 Å, b = 3.7596 Å, c = 7.1917 Å
α = 90.00°, β = 113.92°, γ = 90.00°
Space group C2/m (No. 12)
Unique sites:
Ca  0.0000  0.0000  0.0000 x2
Ga  0.1850  0.0000  0.6063 x4
F  0.0052  0.0000  0.6786 x4
F  0.1425  0.5000  0.1197 x4
F  0.1790  0.5000  0.7049 x4

A geometry-optimized LiNpPd2 structure, computed with PBE.

Computed properties:
formation enthalpy at 0 K = -224 meV/atom
density of states at the Fermi level = 0.85 states/eV per atom

a = 2.8866 Å, b = 2.8866 Å, c = 27.6776 Å
α = 90.00°, β = 90.00°, γ = 120.00°
Space group R-3m (No. 166, hexagonal axes)
Unique sites:
Li  0.0000  0.0000  0.0000 x3
Np  0.0000  0.0000  0.5000 x3
Pd  0.0000  0.0000  0.2584 x6

A geometry-optimized CrAs2P structure, computed with PBE.

Computed properties:
formation enthalpy at 0 K = 303 meV/atom
density of states at the Fermi level = 0.67 states/eV per atom

a = 3.0680 Å, b = 3.0680 Å, c = 6.4207 Å
α = 90.00°, β = 90.00°, γ = 90.00°
Space group P4/mmm (No. 123)
Unique sites:
Cr  0.0000  0.0000  0.0000 x1
As  0.5000  0.5000  0.2173 x2
P  0.0000  0.0000  0.5000 x1

A geometry-optimized ZrTcNF2 structure, computed with PBE.

Computed properties:
energy above the lowest structure with this stoichiometry = 0.0 meV/atom
E_form (uncorrected) = -0.88 eV per atom
density of states at the Fermi level = 0.57 states/eV per atom

a = 4.2364 Å, b = 4.2364 Å, c = 4.2703 Å
α = 90.00°, β = 90.00°, γ = 90.00°
Space group P4/mmm (No. 123)
Unique sites:
Zr  0.0000  0.0000  0.0000 x1
Tc  0.5000  0.5000  0.5000 x1
N  0.0000  0.0000  0.5000 x1
F  0.0000  0.5000  0.0000 x2

A geometry-optimized UTl2Sb2Se6 structure, computed with PBE.

Computed properties:
E_form (uncorrected) = -0.57 eV per atom
density of states at the Fermi level = 0.79 states/eV per atom

a = 7.2485 Å, b = 12.6210 Å, c = 8.1159 Å
α = 90.00°, β = 107.79°, γ = 90.00°
Space group C2/m (No. 12)
Unique sites:
U  0.0000  0.0000  0.0000 x2
Tl  0.0000  0.1664  0.5000 x4
Sb  0.0000  0.3308  0.0000 x4
Se  0.2315  0.1646  0.2023 x8
Se  0.2443  0.5000  0.2045 x4

A geometry-optimized K2YNi structure, computed with PBE.

Computed properties:
energy above the lowest structure with this stoichiometry = 910.4 meV/atom
formation enthalpy at 0 K = 1072 meV/atom
density of states at the Fermi level = 1.45 states/eV per atom

a = 8.1433 Å, b = 8.1433 Å, c = 8.1433 Å
α = 90.00°, β = 90.00°, γ = 90.00°
Space group Fm-3m (No. 225)
Unique sites:
K  0.2500  0.2500  0.2500 x8
Y  0.0000  0.0000  0.0000 x4
Ni  0.0000  0.0000  0.5000 x4